VASP calculation (PBE) on a relaxed Ta2AlIn crystal.

The value obtained for the volume is 76 Å³/cell. The density of states at the Fermi level comes out at 2.49 states/eV per cell. The energy relative to the elements is 14 kJ per mole of atoms. The calculation puts the total moment at 0.00 μB per formula unit.

It has space group P4mm (No. 99), with a = 2.905 Å, b = 2.905 Å, c = 8.984 Å, α = 90.00°, β = 90.00° and γ = 90.00°. The distinct sites, in fractional coordinates, are Ta at (0.000, 0.000, 0.000), Ta at (0.500, 0.500, 0.253), Al at (0.000, 0.000, 0.472) and In at (0.500, 0.500, 0.742).

VASP calculation (PBE) on a relaxed TaAl2In2 crystal.

The value obtained for the volume is 202 Å³/cell. The density of states at the Fermi level comes out at 6.59 states/eV per cell. Its energy above the most stable polymorph in this dataset is 192 meV per atom. The energy relative to the elements is 48 kJ per mole of atoms. The calculation puts the total moment at 0.00 μB per formula unit.

It has space group P4/mbm (No. 127), with a = 7.570 Å, b = 7.570 Å, c = 3.533 Å, α = 90.00°, β = 90.00° and γ = 90.00°. The distinct sites, in fractional coordinates, are Ta at (0.000, 0.000, 0.000), Al at (0.166, 0.334, 0.500) and In at (0.137, 0.637, 0.000).

VASP calculation (PBE) on a relaxed Ta2AlIn crystal.

The value obtained for the volume is 316 Å³/cell. The density of states at the Fermi level comes out at 5.76 states/eV per cell. The energy relative to the elements is 52 kJ per mole of atoms. The calculation puts the total moment at 0.00 μB per formula unit.

It has space group I-42d (No. 122), with a = 7.457 Å, b = 7.457 Å, c = 5.679 Å, α = 90.00°, β = 90.00° and γ = 90.00°. The distinct sites, in fractional coordinates, are Ta at (0.237, 0.250, 0.125), Al at (0.000, 0.000, 0.000) and In at (0.000, 0.000, 0.500).

VASP calculation (PBE) on a relaxed TaAl2In crystal.

The value obtained for the volume is 299 Å³/cell. The density of states at the Fermi level comes out at 18.49 states/eV per cell. The energy relative to the elements is 49 kJ per mole of atoms. The calculation puts the total moment at 0.56 μB per formula unit.

It has space group F-43m (No. 216), with a = 6.688 Å, b = 6.688 Å, c = 6.688 Å, α = 90.00°, β = 90.00° and γ = 90.00°. The distinct sites, in fractional coordinates, are Ta at (0.000, 0.000, 0.000), Al at (0.000, 0.000, 0.500), Al at (0.250, 0.250, 0.750) and In at (0.250, 0.250, 0.250).

VASP calculation (PBE) on a relaxed TaAlIn3 crystal.

The value obtained for the volume is 136 Å³/cell. The density of states at the Fermi level comes out at 8.05 states/eV per cell. Its energy above the most stable polymorph in this dataset is 397 meV per atom. The energy relative to the elements is 118 kJ per mole of atoms. The calculation puts the total moment at 2.26 μB per formula unit.

It has space group Pm-3m (No. 221), with a = 5.142 Å, b = 5.142 Å, c = 5.142 Å, α = 90.00°, β = 90.00° and γ = 90.00°. The distinct sites, in fractional coordinates, are Ta at (0.000, 0.000, 0.000), Al at (0.500, 0.500, 0.500) and In at (0.000, 0.500, 0.500).

VASP calculation (PBE) on a relaxed TaAl2In crystal.

The value obtained for the volume is 147 Å³/cell. The density of states at the Fermi level comes out at 3.71 states/eV per cell. The energy relative to the elements is 6 kJ per mole of atoms. The calculation puts the total moment at 0.00 μB per formula unit.

It has space group Cm (No. 8), with a = 10.091 Å, b = 2.907 Å, c = 5.040 Å, α = 90.00°, β = 96.82° and γ = 90.00°. The distinct sites, in fractional coordinates, are Ta at (0.000, 0.000, 0.000), Al at (0.237, 0.500, 0.218), Al at (0.493, 0.000, 0.484) and In at (0.252, 0.000, 0.732).

VASP calculation (PBE) on a relaxed Ta3AlIn crystal.

The value obtained for the volume is 123 Å³/cell. The density of states at the Fermi level comes out at 9.42 states/eV per cell. Its energy above the most stable polymorph in this dataset is 919 meV per atom. The energy relative to the elements is 199 kJ per mole of atoms. The calculation puts the total moment at 0.00 μB per formula unit.

It has space group Pm-3m (No. 221), with a = 4.972 Å, b = 4.972 Å, c = 4.972 Å, α = 90.00°, β = 90.00° and γ = 90.00°. The distinct sites, in fractional coordinates, are Ta at (0.000, 0.000, 0.500), Al at (0.500, 0.500, 0.500) and In at (0.000, 0.000, 0.000).

VASP calculation (PBE) on a relaxed TaAl2In crystal.

The value obtained for the volume is 141 Å³/cell. The density of states at the Fermi level comes out at 1.90 states/eV per cell. The energy relative to the elements is -6 kJ per mole of atoms. The calculation puts the total moment at 0.00 μB per formula unit.

It has space group I-4m2 (No. 119), with a = 3.962 Å, b = 3.962 Å, c = 8.969 Å, α = 90.00°, β = 90.00° and γ = 90.00°. The distinct sites, in fractional coordinates, are Ta at (0.000, 0.000, 0.000), Al at (0.000, 0.000, 0.500), Al at (0.000, 0.500, 0.750) and In at (0.000, 0.500, 0.250).

Repeat the sixth record exactly.
VASP calculation (PBE) on a relaxed TaAl2In crystal.

The value obtained for the volume is 147 Å³/cell. The density of states at the Fermi level comes out at 3.71 states/eV per cell. The energy relative to the elements is 6 kJ per mole of atoms. The calculation puts the total moment at 0.00 μB per formula unit.

It has space group Cm (No. 8), with a = 10.091 Å, b = 2.907 Å, c = 5.040 Å, α = 90.00°, β = 96.82° and γ = 90.00°. The distinct sites, in fractional coordinates, are Ta at (0.000, 0.000, 0.000), Al at (0.237, 0.500, 0.218), Al at (0.493, 0.000, 0.484) and In at (0.252, 0.000, 0.732).